## NdY2ScTl2 (PBE)

Data for an optimized crystal structure of NdY2ScTl2.

## Properties
M_tot = 0.00 μB per cell
formation enthalpy at 0 K = -0.28 eV/atom

The structure in extended XYZ format:
```
12
Lattice="4.983 0.000 0.000 0.000 9.858 0.000 0.000 0.000 7.011" Properties=species:S:1:pos:R:3 pbc="T T T"
Nd 0.000 0.506 0.000
Nd 0.000 9.351 3.506
Y 0.000 3.086 2.783
Y 0.000 6.772 6.288
Y 2.491 4.416 0.708
Y 2.491 5.442 4.214
Sc 2.491 1.959 4.984
Sc 2.491 7.899 1.478
Tl 0.000 3.617 5.876
Tl 0.000 6.240 2.370
Tl 2.491 1.213 1.960
Tl 2.491 8.645 5.465
```

---

## ScMnSb3 (PBE)

Data for an optimized crystal structure of ScMnSb3.

## Properties
M_tot = 3.55 μB per cell
ΔE_f (raw) = 0.2349 eV per atom

The structure in extended XYZ format:
```
5
Lattice="5.098 0.000 0.000 0.000 5.098 0.000 0.000 0.000 5.098" Properties=species:S:1:pos:R:3 pbc="T T T"
Sc 0.000 0.000 0.000
Mn 2.549 2.549 2.549
Sb 0.000 2.549 2.549
Sb 2.549 0.000 2.549
Sb 2.549 2.549 0.000
```

---

## Y8Ga3Te4S (PBE)

Data for an optimized crystal structure of Y8Ga3Te4S.

## Properties
M_tot = 0.00 μB per cell
ΔE_f (raw) = -1.1604 eV per atom

The structure in extended XYZ format:
```
16
Lattice="4.171 2.408 7.228 -4.171 2.408 7.228 0.000 -4.816 7.228" Properties=species:S:1:pos:R:3 pbc="T T T"
Y -2.081 -1.201 12.452
Y 0.000 0.000 5.296
Y 0.000 -2.402 9.230
Y -2.081 1.201 9.230
Y 2.081 -1.201 12.453
Y 0.000 2.402 12.453
Y 0.000 0.000 16.387
Y 2.081 1.201 9.230
Ga -4.171 0.000 10.841
Ga -2.085 1.204 3.614
Ga 2.085 1.204 3.614
Te 0.000 0.000 0.000
Te -2.085 -1.204 7.228
Te -2.085 1.204 14.455
Te 0.000 2.408 7.228
S 0.000 0.000 10.841
```

---

## CrCoCu2 (PBE)

Data for an optimized crystal structure of CrCoCu2.

## Properties
M_tot = 1.57 μB per cell
formation enthalpy at 0 K = 0.26 eV/atom

The structure in extended XYZ format:
```
4
Lattice="4.323 -1.240 0.000 4.323 1.240 0.000 -0.675 0.000 4.301" Properties=species:S:1:pos:R:3 pbc="T T T"
Cr 0.000 0.000 0.000
Co 3.985 0.000 2.150
Cu 1.639 0.000 3.218
Cu 6.331 0.000 1.083
```

---

> Which formula does entry 1 have?

NdY2ScTl2

---

> Look up the M_tot of the fourth one.

1.57 μB per cell